CsUAs2 | Alexandria via LeMat-Bulk | PBE | optimized geometry; formation energy = -0.539 eV/atom; final energy = -5.899 eV/atom; polymorph energy (0 for the lowest one) = 0.000 kcal/mol of atoms; total magnetic moment = 0.2500 μB/atom
1.0
4.2973 0.0000 0.0000
-2.1486 3.7215 0.0000
0.0000 0.0000 24.9481
Cs U As
3 3 6
Cartesian
0.0000 0.0000 0.0000
0.0000 2.4810 16.6321
2.1486 1.2405 8.3160
0.0000 0.0000 12.4741
0.0000 2.4810 4.1580
2.1486 1.2405 20.7901
0.0000 0.0000 5.5414
0.0000 0.0000 19.4067
0.0000 2.4810 11.0906
0.0000 2.4810 22.1735
2.1486 1.2405 2.7746
2.1486 1.2405 13.8575